Run P
YPCl2 | PBE | relaxed

Structure (POSCAR):
```
YPCl2
1.0
4.0289 0.0000 0.0000
0.0000 4.0267 0.0000
0.0000 0.0000 7.9450
Cl P Y
2 1 1
direct
0.0000 0.0000 0.9287
0.5000 0.5000 0.3031
0.0000 0.0000 0.6609
0.5000 0.5000 0.6072
```

## Properties
**Space group**: P4mm

Run Q
YPCl2 | PBE | relaxed

Structure (POSCAR):
```
YPCl2
1.0
4.3686 0.0000 0.0000
0.0000 4.4258 0.0097
0.0000 1.5659 4.8606
Cl P Y
2 1 1
direct
0.0000 0.0000 0.0000
0.5000 0.5000 0.0000
0.5000 0.5000 0.5000
0.0000 0.0000 0.5000
```

## Properties
**Space group**: P2/m

Computed stability ranking, most favorable first: run P, run Q

Run P
YPCl2 | PBE | relaxed

Structure (POSCAR):
```
YPCl2
1.0
0.0000 3.4325 3.4325
3.4325 0.0000 3.4325
3.4325 3.4325 0.0000
Y P Cl
1 1 2
direct
0.5000 0.5000 0.5000
0.0000 0.0000 0.0000
0.2500 0.2500 0.2500
0.7500 0.7500 0.7500
```

## Properties
**Space group**: Fm-3m

Run Q
YPCl2 | PBE | relaxed

Structure (POSCAR):
```
YPCl2
1.0
7.9852 -0.0041 -0.0053
5.7272 5.5644 0.0053
-6.4521 -3.7768 2.8054
Cl P Y
2 1 1
direct
0.1035 0.1035 0.0000
0.7588 0.2588 0.5000
0.3968 0.3968 0.0000
0.2409 0.7409 0.5000
```

## Properties
**Space group**: Imm2

Computed stability ranking, most favorable first: run Q, run P

Run P
YP3Cl | PBE | relaxed

Structure (POSCAR):
```
YP3Cl
1.0
-0.2296 4.5069 -2.7872
-1.4054 -2.7417 -4.3175
-5.1093 0.5516 1.3129
Y P Cl
1 3 1
direct
0.0000 0.0000 0.0000
0.0000 0.5000 0.0000
0.0000 0.0000 0.5000
0.5000 0.0000 0.0000
0.5000 0.5000 0.5000
```

## Properties
**Space group**: Pm-3m

Run Q
YP3Cl | PBE | relaxed

Structure (POSCAR):
```
YP3Cl
1.0
-4.1338 1.9996 0.5887
-1.6796 -3.9696 1.6895
1.2345 1.2949 4.2700
Y P Cl
1 3 1
direct
0.5000 0.5000 0.5000
0.0000 0.5000 0.0000
0.0000 0.0000 0.5000
0.5000 0.0000 0.0000
0.0000 0.0000 0.0000
```

## Properties
**Space group**: Pm-3m

Computed stability ranking, most favorable first: run Q, run P

Run P
Y2P2Cl | PBE | relaxed

Structure (POSCAR):
```
Y2P2Cl
1.0
-2.0203 2.0203 7.2843
2.0203 -2.0203 7.2843
2.0203 2.0203 -7.2843
Y P Cl
2 2 1
direct
0.6241 0.6241 0.0000
0.3759 0.3759 0.0000
0.2500 0.7500 0.5000
0.7500 0.2500 0.5000
0.0000 0.0000 0.0000
```

## Properties
**Space group**: I4/mmm

Run Q
Y2P2Cl | PBE | relaxed

Structure (POSCAR):
```
Y2P2Cl
1.0
7.4694 0.0000 0.0000
0.0000 7.4694 0.0000
0.0000 0.0000 3.8291
Y P Cl
4 4 2
direct
0.3237 0.8237 0.0000
0.8237 0.6763 0.0000
0.6763 0.1763 0.0000
0.1763 0.3237 0.0000
0.1106 0.6106 0.5000
0.6106 0.8894 0.5000
0.8894 0.3894 0.5000
0.3894 0.1106 0.5000
0.0000 0.0000 0.0000
0.5000 0.5000 0.0000
```

## Properties
**Space group**: P4/mbm

Computed stability ranking, most favorable first: run Q, run P

Run P
YPCl3 | PBE | relaxed

Structure (POSCAR):
```
YPCl3
1.0
4.9873 0.0000 0.0000
0.0000 4.9873 0.0000
0.0000 0.0000 4.9873
Y P Cl
1 1 3
direct
0.5000 0.5000 0.5000
0.0000 0.0000 0.0000
0.0000 0.5000 0.0000
0.0000 0.0000 0.5000
0.5000 0.0000 0.0000
```

## Properties
**Space group**: Pm-3m

Run Q
YPCl3 | PBE | relaxed

Structure (POSCAR):
```
YPCl3
1.0
5.3383 0.0000 0.0000
0.0000 5.3383 0.0000
0.0000 0.0000 5.3383
Y P Cl
1 1 3
direct
0.0000 0.0000 0.0000
0.5000 0.5000 0.5000
0.0000 0.5000 0.0000
0.0000 0.0000 0.5000
0.5000 0.0000 0.0000
```

## Properties
**Space group**: Pm-3m

Computed stability ranking, most favorable first: run Q, run P

Run P
ZnP2Cl | PBE | relaxed

Structure (POSCAR):
```
ZnP2Cl
1.0
3.6678 0.0000 0.0000
0.0000 3.6678 0.0000
0.0000 0.0000 5.7494
Cl P Zn
1 2 1
direct
0.5000 0.5000 0.7500
0.0000 0.0000 0.0703
0.0000 0.0000 0.4297
0.5000 0.5000 0.2500
```

## Properties
**Space group**: P4/mmm

Run Q
ZnP2Cl | PBE | relaxed

Structure (POSCAR):
```
ZnP2Cl
1.0
2.9806 0.0000 0.0000
0.0000 4.6427 0.0000
0.0000 0.0000 4.7579
Cl P Zn
1 2 1
direct
0.0000 0.5000 0.5000
0.0000 0.0000 0.0000
0.5000 0.5000 0.0000
0.5000 0.0000 0.5000
```

## Properties
**Space group**: Pmmm

Computed stability ranking, most favorable first: run P, run Q

Run P
ZnP2Cl | PBE | relaxed

Structure (POSCAR):
```
ZnP2Cl
1.0
-0.6437 2.6629 -2.9811
-3.4162 1.6350 -1.4312
-0.3174 7.1090 4.1470
Cl P Zn
1 2 1
direct
0.9515 0.9515 0.6552
0.7692 0.7692 0.2211
0.1353 0.1353 0.1200
0.6440 0.6440 0.5037
```

## Properties
**Space group**: Cm

Run Q
ZnP2Cl | PBE | relaxed

Structure (POSCAR):
```
ZnP2Cl
1.0
-1.9855 4.2048 1.2622
-3.0265 -0.3076 -3.7364
-1.9059 -1.3980 1.6589
Cl P Zn
1 2 1
direct
0.0000 0.5000 0.5000
0.0000 0.0000 0.0000
0.5000 0.5000 0.0000
0.5000 0.0000 0.5000
```

## Properties
**Space group**: P4/mmm

Run R
ZnP2Cl | PBE | relaxed

Structure (POSCAR):
```
ZnP2Cl
1.0
3.3686 0.0000 0.0000
0.0000 4.9415 -0.0442
0.0000 2.2194 4.4134
Cl P Zn
1 2 1
direct
0.5000 0.7266 0.7268
0.0000 0.0536 0.0535
0.5000 0.2293 0.2295
0.0000 0.4905 0.4902
```

## Properties
**Space group**: Amm2

Run S
ZnP2Cl | PBE | relaxed

Structure (POSCAR):
```
ZnP2Cl
1.0
-3.2410 -2.9992 0.7056
1.9977 -0.8846 -3.9007
1.7287 -4.1195 0.1367
Cl P Zn
1 2 1
direct
0.5000 0.5000 0.0000
0.0000 0.0000 0.0000
0.5000 0.0000 0.5000
0.0000 0.5000 0.5000
```

## Properties
**Space group**: I4/mmm

Computed stability ranking, most favorable first: run P, run R, run S, run Q

Run P
ZnP2Cl | PBE | relaxed

Structure (POSCAR):
```
ZnP2Cl
1.0
-6.4489 0.5431 1.3594
0.5608 -1.2352 3.1537
0.5129 3.1908 1.1585
Cl P Zn
1 2 1
direct
0.5000 0.0000 0.5000
0.0000 0.0000 0.0000
0.0000 0.5000 0.5000
0.5000 0.5000 0.0000
```

## Properties
**Space group**: P4/mmm

Run Q
ZnP2Cl | PBE | relaxed

Structure (POSCAR):
```
ZnP2Cl
1.0
-1.1043 0.6569 -4.7751
0.4311 -3.3081 -0.5548
-4.3396 -2.5227 0.6566
Cl P Zn
1 2 1
direct
0.5000 0.7500 0.7500
0.0000 0.0748 0.0995
0.0000 0.4252 0.4005
0.5000 0.2500 0.2500
```

## Properties
**Space group**: P2/m

Run R
ZnP2Cl | PBE | relaxed

Structure (POSCAR):
```
ZnP2Cl
1.0
4.2429 -0.1018 0.0000
-2.9220 3.0781 0.0000
0.0000 0.0000 8.8083
Cl P Zn
1 2 1
direct
0.5000 0.5000 0.6709
0.0000 0.0000 0.0931
0.5000 0.5000 0.2520
0.0000 0.0000 0.4839
```

## Properties
**Space group**: Cmm2

Run S
ZnP2Cl | PBE | relaxed

Structure (POSCAR):
```
ZnP2Cl
1.0
3.6524 0.0000 0.0000
0.0000 3.6524 0.0000
1.8262 1.8262 11.1900
P Zn Cl
4 2 2
direct
0.6986 0.1250 0.2500
0.0514 0.6250 0.2500
0.3750 0.3014 0.7500
0.8750 0.9486 0.7500
0.0000 0.0000 0.0000
0.7500 0.2500 0.5000
0.5000 0.5000 0.0000
0.2500 0.7500 0.5000
```

## Properties
**Space group**: I-42d

Computed stability ranking, most favorable first: run Q, run R, run S, run P